(1)
# Ni5Ir4Rh | Alexandria via LeMat-Bulk | GGA-PBE | relaxed
data_Ni5Ir4Rh
_chemical_formula_sum 'Ni10 Ir8 Rh2'
_space_group_name_H-M_alt 'C 1 2/m 1'
_space_group_IT_number 12
_space_group_name_Hall '-C 2y'
_cell_length_a 8.7008
_cell_length_b 3.9041
_cell_length_c 7.9909
_cell_angle_alpha 90.00
_cell_angle_beta 90.42
_cell_angle_gamma 90.00
loop_
_atom_site_label
_atom_site_type_symbol
_atom_site_fract_x
_atom_site_fract_y
_atom_site_fract_z
Ni1 Ni 0.0000 0.0000 0.0000
Ni2 Ni 0.1754 0.5000 0.0336
Ni3 Ni 0.1901 0.5000 0.4520
Ir1 Ir 0.0310 0.5000 0.7479
Ir2 Ir 0.1790 0.0000 0.2429
Rh1 Rh 0.0000 0.0000 0.5000
# ΔE_f	212	meV per atom
# DOS at the Fermi energy	33.6	states/eV per cell
# crystal system	monoclinic


(2)
# NiIrRh2 | Alexandria via LeMat-Bulk | GGA-PBE | relaxed
data_NiIrRh2
_chemical_formula_sum 'Ni4 Ir4 Rh8'
_space_group_name_H-M_alt 'F -4 3 m'
_space_group_IT_number 216
_space_group_name_Hall 'F -4 2 3'
_cell_length_a 6.0470
_cell_length_b 6.0470
_cell_length_c 6.0470
_cell_angle_alpha 90.00
_cell_angle_beta 90.00
_cell_angle_gamma 90.00
loop_
_atom_site_label
_atom_site_type_symbol
_atom_site_fract_x
_atom_site_fract_y
_atom_site_fract_z
Ni1 Ni 0.0000 0.0000 0.0000
Ir1 Ir 0.2500 0.2500 0.7500
Rh1 Rh 0.0000 0.0000 0.5000
Rh2 Rh 0.2500 0.2500 0.2500
# ΔE_f	290	meV per atom
# DOS at the Fermi energy	36.3	states/eV per cell
# crystal system	cubic


(3)
# Ni2IrRh4 | Alexandria via LeMat-Bulk | GGA-PBE | relaxed
data_Ni2IrRh4
_chemical_formula_sum 'Ni4 Ir2 Rh8'
_space_group_name_H-M_alt 'C m m m'
_space_group_IT_number 65
_space_group_name_Hall '-C 2 2'
_cell_length_a 2.6984
_cell_length_b 19.2837
_cell_length_c 3.8201
_cell_angle_alpha 90.00
_cell_angle_beta 90.00
_cell_angle_gamma 90.00
loop_
_atom_site_label
_atom_site_type_symbol
_atom_site_fract_x
_atom_site_fract_y
_atom_site_fract_z
Ni1 Ni 0.0000 0.2004 0.0000
Ir1 Ir 0.0000 0.5000 0.5000
Rh1 Rh 0.0000 0.0700 0.0000
Rh2 Rh 0.0000 0.3576 0.5000
# ΔE_f	198	meV per atom
# DOS at the Fermi energy	24.6	states/eV per cell
# crystal system	orthorhombic


Number 1: ρ 14.3 Mg/m³. Number 2: ρ 13.7 Mg/m³. Number 3: ρ 12.0 Mg/m³.